Density functional theory data (PBE-GGA) for a relaxed structure of RbP2H3O6.

Cell lengths 7.378, 7.531, 7.778 Å; angles 88.73, 115.87, 117.09 degrees
Element x y z (fractional)
1 O 0.751 0.705 0.299
2 Rb 0.535 0.192 0.226
3 H 0.043 0.204 0.174
4 P 0.038 0.070 0.643
5 P 0.962 0.930 0.357
6 O 0.175 0.919 0.386
7 O 0.115 0.949 0.793
8 H 0.147 0.727 0.334
9 P 0.162 0.531 0.131
10 H 0.593 0.701 0.227
11 P 0.838 0.469 0.869
12 O 0.829 0.672 0.859
13 O 0.364 0.699 0.113
14 H 0.407 0.299 0.773
15 H 0.957 0.796 0.826
16 Rb 0.465 0.808 0.774
17 O 0.825 0.081 0.614
18 O 0.171 0.328 0.141
19 O 0.249 0.295 0.701
20 O 0.140 0.583 0.313
21 O 0.860 0.417 0.687
22 H 0.853 0.273 0.666
23 O 0.885 0.051 0.207
24 O 0.636 0.301 0.887

The calculation puts the uncorrected energy at -6.0132 eV/atom. For the calculated volume, the calculation gives 337.7 Å³ per cell. Its total magnetization is 0.00 Bohr magnetons per cell.


Density functional theory data (PBE-GGA) for a relaxed structure of RbP2HO.

Cell lengths 3.609, 3.609, 7.320 Å; angles 90.00, 90.00, 90.00 degrees
Element x y z (fractional)
1 P 0.500 0.000 0.000
2 O 0.000 0.000 0.500
3 H 0.000 0.000 0.000
4 Rb 0.500 0.500 0.500
5 P 0.000 0.500 0.000

For the calculated volume, the calculation gives 95.3 Å³ per cell. The calculation puts the polymorph energy (0 for the lowest one) at 0.0 meV per atom. Its total magnetization is 0.00 Bohr magnetons per cell.